# 1
Density functional theory data (PBE) for an optimized crystal structure of Be2In2Br.

Cell: 8.062 8.062 3.200 Å, 90.00 90.00 90.00°
Sites, in units of the cell vectors:
Be 0.094 0.406 0.000
Be 0.406 0.906 0.000
Be 0.594 0.094 0.000
Be 0.906 0.594 0.000
In 0.205 0.705 0.500
In 0.295 0.205 0.500
In 0.705 0.795 0.500
In 0.795 0.295 0.500
Br 0.000 0.000 0.500
Br 0.500 0.500 0.500

Values from the calculation:
* relative energy among the computed polymorphs: 0.0719 eV per atom
* crystal system: tetragonal
* magnetic moment: 0.00 μB/cell

***

# 2
Density functional theory data (PBE) for an optimized crystal structure of BeInBr2.

Cell: 3.382 3.382 8.773 Å, 90.00 90.00 90.00°
Sites, in units of the cell vectors:
Be 0.000 0.000 0.000
In 0.500 0.500 0.736
Br 0.000 0.000 0.521
Br 0.500 0.500 0.123

Values from the calculation:
* relative energy among the computed polymorphs: 0.4370 eV per atom
* crystal system: tetragonal
* magnetic moment: 0.00 μB/cell

***

Total DFT energy (no corrections) list, top to bottom, in eV/atom: -2.503; -2.429
Energy relative to the elements, uncorrected list, top to bottom, in eV/f.u.: 2.09; 0.09